(1)
The following is a DFT calculation (GGA-PBE) of a relaxed structure of PmHo5Hg6.

The structure in POSCAR format:
```
PmHo5Hg6
1.0
5.045 -0.004 -1.414
-3.772 7.379 -3.774
-0.185 -1.019 9.047
Hg Ho Pm
6 5 1
direct
0.742 0.573 0.912
0.742 0.912 0.573
0.237 0.736 0.736
0.258 0.427 0.088
0.763 0.264 0.264
0.258 0.088 0.427
0.000 0.331 0.669
0.500 0.837 0.163
0.500 0.500 0.500
0.000 0.669 0.331
0.500 0.163 0.837
0.000 0.000 0.000
```

Computed properties:
Energy relative to the elements, eV/atom: -0.475
Energy, eV/atom: -2.93
Crystal system: orthorhombic
N(E_F), states/eV/f.u.: 12.72
Space-group type: No. 71



(2)
The following is a DFT calculation (GGA-PBE) of a relaxed structure of PmHo3Hg2.

The structure in POSCAR format:
```
PmHo3Hg2
1.0
3.682 0.000 0.000
0.000 3.682 0.000
0.000 0.000 12.386
Pm Hg Ho
1 2 3
direct
0.500 0.500 0.500
0.500 0.500 0.151
0.500 0.500 0.849
0.000 0.000 0.700
0.000 0.000 0.000
0.000 0.000 0.300
```

Computed properties:
Energy relative to the elements, eV/atom: -0.312
Energy, eV/atom: -3.49
Crystal system: tetragonal
Excess energy over the best structure of this formula in the dataset, meV per atom: 39.7
N(E_F), states/eV/f.u.: 6.28
Space-group type: No. 123



(3)
The following is a DFT calculation (GGA-PBE) of a relaxed structure of PmHo5Hg3.

The structure in POSCAR format:
```
PmHo5Hg3
1.0
-4.893 -4.824 -1.012
6.346 -5.851 -2.791
-2.233 0.422 8.782
Hg Pm Ho
6 2 10
direct
0.250 0.663 0.663
0.250 0.000 0.337
0.750 0.337 0.337
0.750 0.663 0.000
0.750 0.000 0.663
0.250 0.337 0.000
0.500 0.000 0.000
0.000 0.000 0.000
0.250 0.000 0.667
0.750 0.333 0.000
0.500 0.667 0.333
0.250 0.333 0.333
0.250 0.667 0.000
0.750 0.000 0.333
0.000 0.667 0.333
0.750 0.667 0.667
0.000 0.333 0.667
0.500 0.333 0.667
```

Computed properties:
Energy relative to the elements, eV/atom: -0.299
Energy, eV/atom: -3.47
Crystal system: hexagonal
N(E_F), states/eV/f.u.: 5.95
Space-group type: No. 193



(4)
The following is a DFT calculation (GGA-PBE) of a relaxed structure of Pm3Ho2Hg7.

The structure in POSCAR format:
```
Pm3Ho2Hg7
1.0
-0.893 0.365 5.478
4.541 -2.345 0.897
2.983 11.411 -0.274
Hg Pm Ho
7 3 2
direct
0.500 0.913 0.825
0.000 0.724 0.448
0.500 0.087 0.175
0.000 0.424 0.849
0.000 0.276 0.552
0.000 0.576 0.151
0.000 0.000 0.000
0.500 0.330 0.660
0.500 0.500 0.000
0.500 0.670 0.340
0.000 0.142 0.285
0.000 0.858 0.715
```

Computed properties:
Energy relative to the elements, eV/atom: -0.328
Energy, eV/atom: -2.46
Crystal system: orthorhombic
N(E_F), states/eV/f.u.: 8.02
Space-group type: No. 65



What is the energy relative to the elements in the first record?
-0.475 eV/atom



Among the records above, which one has the lowest energy?
PmHo3Hg2



Please write out number 3 again, unchanged.
The following is a DFT calculation (GGA-PBE) of a relaxed structure of PmHo5Hg3.

The structure in POSCAR format:
```
PmHo5Hg3
1.0
-4.893 -4.824 -1.012
6.346 -5.851 -2.791
-2.233 0.422 8.782
Hg Pm Ho
6 2 10
direct
0.250 0.663 0.663
0.250 0.000 0.337
0.750 0.337 0.337
0.750 0.663 0.000
0.750 0.000 0.663
0.250 0.337 0.000
0.500 0.000 0.000
0.000 0.000 0.000
0.250 0.000 0.667
0.750 0.333 0.000
0.500 0.667 0.333
0.250 0.333 0.333
0.250 0.667 0.000
0.750 0.000 0.333
0.000 0.667 0.333
0.750 0.667 0.667
0.000 0.333 0.667
0.500 0.333 0.667
```

Computed properties:
Energy relative to the elements, eV/atom: -0.299
Energy, eV/atom: -3.47
Crystal system: hexagonal
N(E_F), states/eV/f.u.: 5.95
Space-group type: No. 193



energy relative to the elements of number 3 (PmHo5Hg3)?
-0.299 eV/atom